# 1
AlRu2Se | the Alexandria database | GGA-PBE | optimized geometry; DOS(E_F) = 3.60 states/eV/f.u.; excess energy over the best structure of this formula in the dataset = 2.63 eV/f.u.; formation energy without anion corrections = 0.4391 eV/atom; total magnetization = 0.0 μB per cell; space-group type = I-42d, No. 122
1.0
-2.816 2.816 5.230
2.816 -2.816 5.230
2.816 2.816 -5.230
Al Ru Se
2 4 2
direct
0.000 0.000 0.000 Al
0.750 0.250 0.500 Al
0.138 0.625 0.013 Ru
0.375 0.388 0.513 Ru
0.612 0.125 0.987 Ru
0.875 0.862 0.487 Ru
0.250 0.750 0.500 Se
0.500 0.500 0.000 Se

# 2
Al2RuSe | the Alexandria database | GGA-PBE | optimized geometry; DOS(E_F) = 1.48 states/eV/f.u.; formation energy without anion corrections = -0.0582 eV/atom; total magnetization = 0.0 μB per cell; space-group type = I4/mmm, No. 139
1.0
-1.978 1.978 3.944
1.978 -1.978 3.944
1.978 1.978 -3.944
Al Ru Se
2 1 1
direct
0.250 0.750 0.500 Al
0.750 0.250 0.500 Al
0.000 0.000 0.000 Ru
0.500 0.500 0.000 Se

# 3
Al2RuSe | the Alexandria database | GGA-PBE | optimized geometry; DOS(E_F) = 1.55 states/eV/f.u.; formation energy without anion corrections = -0.1492 eV/atom; total magnetization = 0.0 μB per cell; space-group type = Cmmm, No. 65
1.0
2.823 -3.598 0.000
2.823 3.598 0.000
0.000 0.000 3.061
Al Ru Se
2 1 1
direct
0.000 0.500 0.000 Al
0.500 0.000 0.000 Al
0.000 0.000 0.500 Ru
0.500 0.500 0.500 Se

# 4
Al2Ru2Se | the Alexandria database | GGA-PBE | optimized geometry; DOS(E_F) = 2.07 states/eV/f.u.; excess energy over the best structure of this formula in the dataset = 0.83 eV/f.u.; formation energy without anion corrections = -0.0198 eV/atom; total magnetization = 0.0 μB per cell; space-group type = I4/mmm, No. 139
1.0
-1.769 1.769 6.390
1.769 -1.769 6.390
1.769 1.769 -6.390
Al Ru Se
2 2 1
direct
0.250 0.750 0.500 Al
0.750 0.250 0.500 Al
0.106 0.106 0.000 Ru
0.894 0.894 0.000 Ru
0.500 0.500 0.000 Se